VASP calculation (PBEsol) on a relaxed structure of La3Ce.

Spin magnetization, μB per atom: 0.145
Calculated total energy, eV per atom: -5.578
SG: No. 139
E_form, eV per atom: 0.080

abc: 4.990 4.990 6.099
angles: 114.14 114.14 90.00
Last column: magnetic moment on the atom in μB.
Element x y z (fractional)
Ce  0.000  0.000  0.000  0.39
La  0.250  0.750  0.500  0.02
La  0.750  0.250  0.500  0.02
La  0.500  0.500  0.000  0.02